Entry from the Alexandria database: BaInOs after structural relaxation (PBEsol).

Cell lengths 4.548, 4.548, 4.725 Å; angles 90.00, 90.00, 120.00 degrees
Fractional coordinates of all 3 atoms:
Ba1 0.000 0.000 0.000
In1 0.667 0.333 0.500
Os1 0.333 0.667 0.500

Output
Raw total energy   -5.270 eV per atom

Entry from the Alexandria database: MgNiPt2 after structural relaxation (PBEsol).

Cell lengths 2.783, 4.530, 4.530 Å; angles 104.59, 90.00, 90.00 degrees
Fractional coordinates of all 4 atoms:
Ni1 0.500 0.500 0.500
Mg1 0.500 0.000 0.000
Pt1 0.000 0.500 0.000
Pt2 0.000 0.000 0.500

Output
Raw total energy   -5.891 eV per atom

Entry from the Alexandria database: TlAgHg2 after structural relaxation (PBEsol).

Cell lengths 3.164, 5.313, 6.168 Å; angles 115.51, 104.86, 90.00 degrees
Fractional coordinates of all 4 atoms:
Tl1 0.500 0.000 0.000
Hg1 0.725 0.725 0.451
Hg2 0.275 0.275 0.549
Ag1 0.000 0.500 0.000

Output
Raw total energy   -1.713 eV per atom

Entry from the Alexandria database: CdNiAs after structural relaxation (PBEsol).

Cell lengths 4.222, 4.222, 4.222 Å; angles 60.00, 60.00, 60.00 degrees
Fractional coordinates of all 3 atoms:
As1 0.250 0.250 0.250
Cd1 0.000 0.000 0.000
Ni1 0.500 0.500 0.500

Output
Raw total energy   -3.973 eV per atom

Entry from the Alexandria database: PrSnRu after structural relaxation (PBEsol).

Cell lengths 4.824, 7.270, 7.580 Å; angles 90.00, 90.00, 90.00 degrees
Fractional coordinates of all 12 atoms:
Pr1 0.250 0.811 0.467
Pr2 0.750 0.189 0.533
Pr3 0.750 0.311 0.033
Pr4 0.250 0.689 0.967
Sn1 0.750 0.613 0.695
Sn2 0.750 0.887 0.195
Sn3 0.250 0.113 0.805
Sn4 0.250 0.387 0.305
Ru1 0.750 0.556 0.349
Ru2 0.750 0.944 0.849
Ru3 0.250 0.056 0.151
Ru4 0.250 0.444 0.651

Output
Raw total energy   -7.031 eV per atom

Entry from the Alexandria database: TlCr2Os after structural relaxation (PBEsol).

Cell lengths 3.983, 4.661, 3.983 Å; angles 115.29, 90.00, 115.29 degrees
Fractional coordinates of all 4 atoms:
Cr1 0.750 0.500 0.250
Cr2 0.250 0.500 0.750
Os1 0.500 0.000 0.500
Tl1 0.000 0.000 0.000

Output
Distance to the lowest polymorph of the same formula   153.1 meV/atom

Entry from the Alexandria database: Sr2LiTe after structural relaxation (PBEsol).

Cell lengths 7.476, 7.476, 7.476 Å; angles 107.19, 107.19, 114.14 degrees
Fractional coordinates of all 8 atoms:
Sr1 0.895 0.875 0.520
Sr2 0.355 0.375 0.480
Sr3 0.125 0.645 0.020
Sr4 0.625 0.105 0.980
Te1 0.000 0.000 0.000
Te2 0.250 0.750 0.500
Li1 0.500 0.500 0.000
Li2 0.750 0.250 0.500

Output
Uncorrected formation energy   -0.512 eV per atom

Entry from the Alexandria database: SrSc2Ag after structural relaxation (PBEsol).

Cell lengths 5.132, 5.132, 5.132 Å; angles 60.00, 60.00, 60.00 degrees
Fractional coordinates of all 4 atoms:
Ag1 0.000 0.000 0.000
Sc1 0.250 0.250 0.250
Sc2 0.750 0.750 0.750
Sr1 0.500 0.500 0.500

Output
Distance to the lowest polymorph of the same formula   226.7 meV/atom

Entry from the Alexandria database: YSn2Mo after structural relaxation (PBEsol).

Cell lengths 4.894, 4.894, 4.894 Å; angles 60.00, 60.00, 60.00 degrees
Fractional coordinates of all 4 atoms:
Y1 0.000 0.000 0.000
Mo1 0.500 0.500 0.500
Sn1 0.250 0.250 0.250
Sn2 0.750 0.750 0.750

Output
Raw total energy   -6.867 eV per atom

Entry from the Alexandria database: BaSb4W after structural relaxation (PBEsol).

Cell lengths 6.228, 6.228, 6.228 Å; angles 60.00, 60.00, 60.00 degrees
Fractional coordinates of all 6 atoms:
Ba1 0.000 0.000 0.000
Sb1 0.377 0.377 0.377
Sb2 0.377 0.377 0.870
Sb3 0.870 0.377 0.377
Sb4 0.377 0.870 0.377
W1 0.750 0.750 0.750

Output
Uncorrected formation energy   0.698 eV per atom

Entry from the Alexandria database: Ca2MgH2 after structural relaxation (PBEsol).

Cell lengths 3.864, 3.864, 7.189 Å; angles 105.59, 105.59, 90.00 degrees
Fractional coordinates of all 5 atoms:
H1 0.250 0.750 0.500
H2 0.750 0.250 0.500
Ca1 0.339 0.339 0.678
Ca2 0.661 0.661 0.322
Mg1 0.000 0.000 0.000

Output
Raw total energy   -2.865 eV per atom

Entry from the Alexandria database: PrZn3P3 after structural relaxation (PBEsol).

Cell lengths 4.002, 4.002, 19.775 Å; angles 90.00, 90.00, 120.00 degrees
Fractional coordinates of all 14 atoms:
Pr1 0.000 0.000 0.000
Pr2 0.000 0.000 0.500
Zn1 0.333 0.667 0.750
Zn2 0.667 0.333 0.250
Zn3 0.667 0.333 0.871
Zn4 0.333 0.667 0.371
Zn5 0.333 0.667 0.129
Zn6 0.667 0.333 0.629
P1 0.667 0.333 0.750
P2 0.333 0.667 0.250
P3 0.667 0.333 0.411
P4 0.333 0.667 0.911
P5 0.333 0.667 0.589
P6 0.667 0.333 0.089

Output
Raw total energy   -4.473 eV per atom

Entry from the Alexandria database: Ga3PtI after structural relaxation (PBEsol).

Cell lengths 4.878, 4.878, 4.878 Å; angles 90.00, 90.00, 90.00 degrees
Fractional coordinates of all 5 atoms:
I1 0.500 0.500 0.500
Ga1 0.000 0.500 0.000
Ga2 0.000 0.000 0.500
Ga3 0.500 0.000 0.000
Pt1 0.000 0.000 0.000

Output
Uncorrected formation energy   -0.438 eV per atom

Entry from the Alexandria database: NiRuSe2 after structural relaxation (PBEsol).

Cell lengths 4.315, 4.315, 4.315 Å; angles 60.00, 60.00, 60.00 degrees
Fractional coordinates of all 4 atoms:
Ni1 0.500 0.500 0.500
Ru1 0.000 0.000 0.000
Se1 0.250 0.250 0.250
Se2 0.750 0.750 0.750

Output
Uncorrected formation energy   0.133 eV per atom
Distance to the lowest polymorph of the same formula   15.2 meV/atom

Entry from the Alexandria database: Fe2Rh after structural relaxation (PBEsol).

Cell lengths 2.576, 4.847, 6.207 Å; angles 77.37, 81.21, 78.09 degrees
Fractional coordinates of all 6 atoms:
Rh1 0.109 0.088 0.674
Rh2 0.891 0.912 0.326
Fe1 0.731 0.740 0.996
Fe2 0.563 0.578 0.670
Fe3 0.437 0.422 0.330
Fe4 0.269 0.260 0.004

Output
Raw total energy   -8.590 eV per atom

Entry from the Alexandria database: KY2Sc after structural relaxation (PBEsol).

Cell lengths 3.618, 5.901, 5.901 Å; angles 90.00, 90.00, 90.00 degrees
Fractional coordinates of all 4 atoms:
K1 0.500 0.500 0.500
Sc1 0.500 0.000 0.000
Y1 0.000 0.000 0.500
Y2 0.000 0.500 0.000

Output
Distance to the lowest polymorph of the same formula   249.5 meV/atom

Entry from the Alexandria database: TaOs after structural relaxation (PBEsol).

Cell lengths 3.987, 3.987, 5.246 Å; angles 90.00, 90.00, 120.00 degrees
Fractional coordinates of all 4 atoms:
Os1 0.000 0.000 0.000
Os2 0.000 0.000 0.500
Ta1 0.667 0.333 0.750
Ta2 0.333 0.667 0.250

Output
Raw total energy   -12.185 eV per atom

Entry from the Alexandria database: HfZnSe2O after structural relaxation (PBEsol).

Cell lengths 3.843, 5.032, 5.032 Å; angles 90.00, 90.00, 90.00 degrees
Fractional coordinates of all 5 atoms:
Zn1 0.500 0.500 0.500
Hf1 0.500 0.000 0.000
O1 0.000 0.000 0.000
Se1 0.000 0.000 0.500
Se2 0.000 0.500 0.000

Output
Uncorrected formation energy   -0.395 eV per atom

Entry from the Alexandria database: BaSr3P after structural relaxation (PBEsol).

Cell lengths 5.853, 5.853, 5.853 Å; angles 90.00, 90.00, 90.00 degrees
Fractional coordinates of all 5 atoms:
Sr1 0.000 0.500 0.000
Sr2 0.000 0.000 0.500
Sr3 0.500 0.000 0.000
Ba1 0.000 0.000 0.000
P1 0.500 0.500 0.500

Output
Distance to the lowest polymorph of the same formula   1547.3 meV/atom

Entry from the Alexandria database: NiRhPb2 after structural relaxation (PBEsol).

Cell lengths 4.697, 4.668, 4.668 Å; angles 59.62, 59.80, 59.80 degrees
Fractional coordinates of all 4 atoms:
Ni1 0.000 0.500 0.500
Pb1 0.249 0.751 0.751
Pb2 0.751 0.249 0.249
Rh1 0.500 0.000 0.000

Output
Distance to the lowest polymorph of the same formula   170.7 meV/atom

Number 1: ρ 8.7 g/cm3. Number 2: ρ 14.2 g/cm3. Number 3: ρ 13.2 g/cm3. Number 4: ρ 7.7 g/cm3. Number 5: ρ 9.0 g/cm3. Number 6: ρ 14.1 g/cm3. Number 7: ρ 3.2 g/cm3. Number 8: ρ 5.0 g/cm3. Number 9: ρ 8.5 g/cm3. Number 10: ρ 7.9 g/cm3. Number 11: ρ 1.8 g/cm3. Number 12: ρ 5.2 g/cm3. Number 13: ρ 7.6 g/cm3. Number 14: ρ 9.3 g/cm3. Number 15: ρ 9.7 g/cm3. Number 16: ρ 3.5 g/cm3. Number 17: ρ 17.1 g/cm3. Number 18: ρ 7.1 g/cm3. Number 19: ρ 3.6 g/cm3. Number 20: ρ 13.3 g/cm3.